EuZnIr4 | PBE | optimized geometry

Cell: 5.3006 5.3006 5.3006 Å, 60.00 60.00 60.00°
Closest atoms and distances in Å follow each position.
Sites, in units of the cell vectors:
Eu 0.0000 0.0000 0.0000  12 Ir 3.11, 4 Zn 3.25
Zn 0.7500 0.7500 0.7500  12 Ir 3.11, 4 Eu 3.25
Ir 0.3755 0.3755 0.3755  6 Ir 2.64-2.66
Ir 0.3755 0.3755 0.8734  6 Ir 2.64-2.66
Ir 0.3755 0.8734 0.3755  6 Ir 2.64-2.66
Ir 0.8734 0.3755 0.3755  6 Ir 2.64-2.66

Crystal system: cubic
Formation enthalpy at 0 K in eV per atom: -0.13

=====

MnCd2Pd2 | PBE | optimized geometry

Cell: 7.1684 7.1684 7.1684 Å, 148.68 148.68 44.88°
Closest atoms and distances in Å follow each position.
Sites, in units of the cell vectors:
Mn 0.0000 0.0000 0.0000  8 Pd 3.02
Cd 0.2500 0.7500 0.5000  4 Cd 2.74, 4 Pd 2.80
Cd 0.7500 0.2500 0.5000  4 Cd 2.74, 4 Pd 2.80
Pd 0.4032 0.4032 0.0000  1 Pd 2.57, 4 Cd 2.80
Pd 0.5968 0.5968 0.0000  1 Pd 2.57, 4 Cd 2.80

Crystal system: tetragonal
Formation enthalpy at 0 K in eV per atom: 0.13
Energy above the lowest structure with this stoichiometry in meV/atom: 283

=====

Sr2Ac3NbN6 | PBE | optimized geometry

Cell: 6.5019 6.5019 6.2850 Å, 99.27 99.27 120.52°
Closest atoms and distances in Å follow each position.
Sites, in units of the cell vectors:
Sr 0.1675 0.8325 0.0000  6 N 2.69-2.74
Sr 0.8325 0.1675 0.0000  6 N 2.69-2.74
Ac 0.0000 0.0000 0.5000  6 N 2.62-2.80
Ac 0.3386 0.6614 0.5000  4 N 2.52-2.56
Ac 0.6614 0.3386 0.5000  4 N 2.52-2.56
Nb 0.5000 0.5000 0.0000  6 N 2.20-2.39
N 0.1565 0.4275 0.7815  1 Nb 2.20
N 0.2856 0.2856 0.2469  1 Nb 2.39, 2 Ac 2.52
N 0.4275 0.1565 0.7815  1 Nb 2.20
N 0.5725 0.8435 0.2185  1 Nb 2.20
N 0.7144 0.7144 0.7531  1 Nb 2.39, 2 Ac 2.52
N 0.8435 0.5725 0.2185  1 Nb 2.20

ΔE_f (raw) in eV per atom: -0.90
Crystal system: monoclinic

=====

YIrRu2 | PBE | optimized geometry

Cell: 2.8799 3.8440 6.1588 Å, 90.00 90.00 90.00°
Closest atoms and distances in Å follow each position.
Sites, in units of the cell vectors:
Y 0.0000 0.0000 0.0000  2 Y 2.88, 4 Ir 2.95, 6 Ru 3.04-3.12
Ir 0.5000 0.5000 0.2782  5 Ru 2.58-2.78, 2 Ir 2.88
Ru 0.0000 0.0000 0.5062  6 Ru 2.67-2.88, 4 Ir 2.78
Ru 0.5000 0.5000 0.6970  1 Ir 2.58, 6 Ru 2.67-2.88

Crystal system: orthorhombic
Formation enthalpy at 0 K in eV per atom: 0.01
Energy above the lowest structure with this stoichiometry in meV/atom: 27

=====

La2PuIr2 | PBE | optimized geometry

Cell: 6.1058 6.1058 8.0211 Å, 100.57 100.57 59.21°
Closest atoms and distances in Å follow each position.
Sites, in units of the cell vectors:
La 0.0170 0.2822 0.1489  6 Ir 3.18-3.35, 2 Pu 3.56
La 0.2822 0.0170 0.6489  6 Ir 3.18-3.35, 2 Pu 3.56
La 0.7178 0.9830 0.3511  6 Ir 3.18-3.35, 2 Pu 3.56
La 0.9830 0.7178 0.8511  6 Ir 3.18-3.35, 2 Pu 3.56
Pu 0.3721 0.6279 0.2500  4 Ir 2.71-2.76
Pu 0.6279 0.3721 0.7500  4 Ir 2.71-2.76
Ir 0.2229 0.4989 0.4968  2 Pu 2.71-2.76, 1 Ir 2.73
Ir 0.4989 0.2229 0.9968  2 Pu 2.71-2.76, 1 Ir 2.73
Ir 0.5011 0.7771 0.0032  2 Pu 2.71-2.76, 1 Ir 2.73
Ir 0.7771 0.5011 0.5032  2 Pu 2.71-2.76, 1 Ir 2.73

Crystal system: monoclinic
Formation enthalpy at 0 K in eV per atom: -0.58

=====

Er2PuMg | PBE | optimized geometry

Cell: 12.1406 12.1406 12.1406 Å, 15.82 15.82 15.82°
Closest atoms and distances in Å follow each position.
Sites, in units of the cell vectors:
Er 0.0912 0.0912 0.0912  1 Pu 3.28, 3 Mg 3.33, 6 Er 3.34
Er 0.9088 0.9088 0.9088  1 Pu 3.28, 3 Mg 3.33, 6 Er 3.34
Pu 0.0000 0.0000 0.0000  2 Er 3.28, 6 Pu 3.34
Mg 0.5000 0.5000 0.5000  6 Er 3.33, 6 Mg 3.34

Crystal system: trigonal
Formation enthalpy at 0 K in eV per atom: 0.29
Energy above the lowest structure with this stoichiometry in meV/atom: 239

=====

Li2InHPt | PBE | optimized geometry

Cell: 4.1773 4.1773 3.7256 Å, 90.00 90.00 90.00°
Closest atoms and distances in Å follow each position.
Sites, in units of the cell vectors:
Li 0.0000 0.5000 0.0000  2 H 2.09
Li 0.5000 0.0000 0.0000  2 H 2.09
In 0.0000 0.0000 0.5000  8 Li 2.80, 4 Pt 2.95
H 0.5000 0.5000 0.0000  2 Pt 1.86
Pt 0.5000 0.5000 0.5000  2 H 1.86

Crystal system: tetragonal
Energy above the lowest structure with this stoichiometry in meV/atom: 0

=====

Ta2CoRu | PBE | optimized geometry

Cell: 4.4835 4.4835 3.0609 Å, 90.00 90.00 90.00°
Closest atoms and distances in Å follow each position.
Sites, in units of the cell vectors:
Ta 0.0000 0.5000 0.0000  4 Ru 2.71, 4 Co 2.71
Ta 0.5000 0.0000 0.0000  4 Ru 2.71, 4 Co 2.71
Co 0.0000 0.0000 0.5000  8 Ta 2.71
Ru 0.5000 0.5000 0.5000  8 Ta 2.71

Crystal system: tetragonal
Formation enthalpy at 0 K in eV per atom: -0.19

=====

SrRu2Se | PBE | optimized geometry

Cell: 5.1440 5.1440 5.7593 Å, 109.77 109.77 36.31°
Closest atoms and distances in Å follow each position.
Sites, in units of the cell vectors:
Sr 0.0000 0.0000 0.0000  7 Ru 3.15-3.44, 3 Se 3.17-3.28, 2 Sr 3.21
Ru 0.2236 0.2236 0.5808  2 Se 2.45, 2 Ru 2.60
Ru 0.5051 0.5051 0.5321  2 Se 2.51, 2 Ru 2.60
Se 0.7993 0.7993 0.3271  4 Ru 2.45-2.51

ΔE_f (raw) in eV per atom: 0.03
Crystal system: monoclinic

=====

Ta2RuSe | PBE | optimized geometry

Cell: 4.7250 4.7250 3.1162 Å, 96.11 96.11 103.41°
Closest atoms and distances in Å follow each position.
Sites, in units of the cell vectors:
Ta 0.0000 0.5000 0.0000  4 Se 2.69-2.97, 4 Ru 2.69-2.97, 2 Ta 2.93
Ta 0.5000 0.0000 0.0000  4 Se 2.69-2.97, 4 Ru 2.69-2.97, 2 Ta 2.93
Ru 0.0000 0.0000 0.5000  8 Ta 2.69-2.97, 2 Se 2.93
Se 0.5000 0.5000 0.5000  8 Ta 2.69-2.97, 2 Ru 2.93

ΔE_f (raw) in eV per atom: -0.05
Crystal system: monoclinic

=====

YMnSi2 | PBE | optimized geometry

Cell: 7.1382 3.8359 9.8535 Å, 90.00 90.00 90.00°
Closest atoms and distances in Å follow each position.
Sites, in units of the cell vectors:
Y 0.1395 0.2500 0.1309  9 Si 2.94-3.14, 2 Mn 3.28
Y 0.3605 0.7500 0.6309  9 Si 2.94-3.14, 2 Mn 3.28
Y 0.6395 0.2500 0.3691  9 Si 2.94-3.14, 2 Mn 3.28
Y 0.8605 0.7500 0.8691  9 Si 2.94-3.14, 2 Mn 3.28
Mn 0.0114 0.7500 0.3933  5 Si 2.32-2.46
Mn 0.4886 0.2500 0.8933  5 Si 2.32-2.46
Mn 0.5114 0.7500 0.1067  5 Si 2.32-2.46
Mn 0.9886 0.2500 0.6067  5 Si 2.32-2.46
Si 0.1625 0.2500 0.8124  2 Mn 2.38-2.46, 2 Si 2.44
Si 0.2095 0.2500 0.4337  3 Mn 2.32-2.42, 2 Si 2.44
Si 0.2905 0.7500 0.9337  3 Mn 2.32-2.42, 2 Si 2.44
Si 0.3375 0.7500 0.3124  2 Mn 2.38-2.46, 2 Si 2.44
Si 0.6625 0.2500 0.6876  2 Mn 2.38-2.46, 2 Si 2.44
Si 0.7095 0.2500 0.0663  3 Mn 2.32-2.42, 2 Si 2.44
Si 0.7905 0.7500 0.5663  3 Mn 2.32-2.42, 2 Si 2.44
Si 0.8375 0.7500 0.1876  2 Mn 2.38-2.46, 2 Si 2.44

ΔE_f (raw) in eV per atom: -0.63
Crystal system: orthorhombic

=====

NdTm2PuSe4 | PBE | optimized geometry

Cell: 7.0861 4.0657 7.1649 Å, 90.00 108.93 90.00°
Closest atoms and distances in Å follow each position.
Sites, in units of the cell vectors:
Nd 0.0000 0.0000 0.0000  6 Se 2.97-2.98
Tm 0.0000 0.5000 0.5000  6 Se 2.86
Tm 0.5000 0.0000 0.5000  6 Se 2.83
Pu 0.5000 0.5000 0.0000  6 Se 2.95
Se 0.2485 0.0000 0.7364  3 Tm 2.83-2.86, 2 Pu 2.95, 1 Nd 2.97
Se 0.2585 0.5000 0.2662  3 Tm 2.83-2.86, 1 Pu 2.95, 2 Nd 2.98
Se 0.7415 0.5000 0.7338  3 Tm 2.83-2.86, 1 Pu 2.95, 2 Nd 2.98
Se 0.7515 0.0000 0.2636  3 Tm 2.83-2.86, 2 Pu 2.95, 1 Nd 2.97

ΔE_f (raw) in eV per atom: -1.70
Crystal system: monoclinic